InSn2Te PBE optimized geometry; crystal system = trigonal; symmetry = R3m; E above lowest polymorph = 0.0000 eV per atom; total magnetization = 0.0 μB/f.u.; E = -3.47 eV/atom; E_form (uncorrected) = 0.00 eV/atom
1.0
-3.064 -2.629 -0.806
-1.628 -2.257 3.034
-7.100 4.368 2.231
In Sn Te
1 2 1
direct
0.500 0.500 0.501
0.082 0.082 0.755
0.251 0.251 0.248
0.668 0.668 0.996